Record 1
Entry from Alexandria: a PBEsol-optimized structure of TiBi2OsRh (SCAN).

Cell: 5.168 5.168 4.454 Å, 90.00 90.00 90.00°
Space group P4/mmm (No. 123)
Unique sites:
Ti 0.000 0.000 0.000 x1
Bi 0.000 0.500 0.000 x2
Os 0.000 0.000 0.500 x1
Rh 0.500 0.500 0.500 x1

## Properties
- total moment (μB/cell) = 1.2
- DFT formation energy (eV/atom) = 1.3373
- crystal system = tetragonal

Record 2
Entry from Alexandria: a PBEsol-optimized structure of BiOsRu3 (SCAN).

Cell: 4.660 4.660 4.660 Å, 90.00 90.00 90.00°
Space group Pm-3m (No. 221)
Unique sites:
Bi 0.000 0.000 0.000 x1
Os 0.500 0.500 0.500 x1
Ru 0.000 0.500 0.500 x3

## Properties
- total moment (μB/cell) = 0.0
- DFT formation energy (eV/atom) = 1.5321
- crystal system = cubic

Record 3
Entry from Alexandria: a PBEsol-optimized structure of BiTe2OsRu (SCAN).

Cell: 5.129 5.129 4.684 Å, 90.00 90.00 90.00°
Space group P4/mmm (No. 123)
Unique sites:
Bi 0.000 0.000 0.000 x1
Te 0.000 0.500 0.500 x2
Os 0.500 0.500 0.000 x1
Ru 0.500 0.500 0.500 x1

## Properties
- total moment (μB/cell) = 0.0
- uncorrected formation energy (eV/atom) = 1.09
- crystal system = tetragonal

Record 4
Entry from Alexandria: a PBEsol-optimized structure of BiOs2S (SCAN).

Cell: 6.391 6.391 6.391 Å, 90.00 90.00 90.00°
Space group Fm-3m (No. 225)
Unique sites:
Bi 0.000 0.000 0.000 x4
Os 0.250 0.250 0.250 x8
S 0.000 0.000 0.500 x4

## Properties
- total moment (μB/cell) = 0.0
- uncorrected formation energy (eV/atom) = 1.31
- crystal system = cubic

Record 5
Entry from Alexandria: a PBEsol-optimized structure of BiOsS3 (SCAN).

Cell: 5.065 5.065 5.065 Å, 90.00 90.00 90.00°
Space group Pm-3m (No. 221)
Unique sites:
Bi 0.000 0.000 0.000 x1
Os 0.500 0.500 0.500 x1
S 0.000 0.000 0.500 x3

## Properties
- total moment (μB/cell) = 4.8
- uncorrected formation energy (eV/atom) = 1.83
- crystal system = cubic

Record 6
Entry from Alexandria: a PBEsol-optimized structure of BiSb3Os (SCAN).

Cell: 5.132 5.132 5.132 Å, 90.00 90.00 90.00°
Space group Pm-3m (No. 221)
Unique sites:
Bi 0.000 0.000 0.000 x1
Sb 0.000 0.500 0.500 x3
Os 0.500 0.500 0.500 x1

## Properties
- total moment (μB/cell) = 0.0
- uncorrected formation energy (eV/atom) = 0.56
- crystal system = cubic

Record 7
Entry from Alexandria: a PBEsol-optimized structure of ScBi2Os (SCAN).

Cell: 4.379 4.379 19.586 Å, 90.00 90.00 90.00°
Space group I-42d (No. 122)
Unique sites:
Sc 0.000 0.000 0.000 x4
Bi 0.237 0.250 0.625 x8
Os 0.000 0.000 0.500 x4

## Properties
- total moment (μB/cell) = 0.0
- DFT formation energy (eV/atom) = 0.4936
- crystal system = tetragonal

Record 8
Entry from Alexandria: a PBEsol-optimized structure of SiBiOs3 (SCAN).

Cell: 4.465 4.465 4.465 Å, 90.00 90.00 90.00°
Space group Pm-3m (No. 221)
Unique sites:
Si 0.000 0.000 0.000 x1
Bi 0.500 0.500 0.500 x1
Os 0.000 0.000 0.500 x3

## Properties
- total moment (μB/cell) = 0.0
- uncorrected formation energy (eV/atom) = 1.24
- crystal system = cubic

Record 9
Entry from Alexandria: a PBEsol-optimized structure of SiBi2Os2 (SCAN).

Cell: 5.515 5.515 7.038 Å, 90.00 90.00 90.00°
Space group I4/mmm (No. 139)
Unique sites:
Si 0.000 0.000 0.000 x2
Bi 0.000 0.500 0.250 x4
Os 0.000 0.000 0.318 x4

## Properties
- total moment (μB/cell) = 0.0
- uncorrected formation energy (eV/atom) = 0.88
- crystal system = tetragonal

Record 10
Entry from Alexandria: a PBEsol-optimized structure of SiBi3Os (SCAN).

Cell: 5.139 5.139 5.139 Å, 90.00 90.00 90.00°
Space group Pm-3m (No. 221)
Unique sites:
Si 0.000 0.000 0.000 x1
Bi 0.000 0.000 0.500 x3
Os 0.500 0.500 0.500 x1

## Properties
- total moment (μB/cell) = 2.1
- uncorrected formation energy (eV/atom) = 1.79
- crystal system = cubic

Record 11
Entry from Alexandria: a PBEsol-optimized structure of SrBiOs3 (SCAN).

Cell: 4.826 4.826 4.826 Å, 90.00 90.00 90.00°
Space group Pm-3m (No. 221)
Unique sites:
Sr 0.000 0.000 0.000 x1
Bi 0.500 0.500 0.500 x1
Os 0.000 0.000 0.500 x3

## Properties
- total moment (μB/cell) = 0.0
- DFT formation energy (eV/atom) = 3.5992
- crystal system = cubic

Record 12
Entry from Alexandria: a PBEsol-optimized structure of Tc3BiOs (SCAN).

Cell: 4.777 4.777 4.777 Å, 90.00 90.00 90.00°
Space group Pm-3m (No. 221)
Unique sites:
Tc 0.000 0.000 0.500 x3
Bi 0.000 0.000 0.000 x1
Os 0.500 0.500 0.500 x1

## Properties
- total moment (μB/cell) = 2.7
- DFT formation energy (eV/atom) = 3.1887
- crystal system = cubic

Record 13
Entry from Alexandria: a PBEsol-optimized structure of ZnBiOs2 (SCAN).

Cell: 6.347 6.347 6.347 Å, 90.00 90.00 90.00°
Space group Fm-3m (No. 225)
Unique sites:
Zn 0.000 0.000 0.000 x4
Bi 0.000 0.000 0.500 x4
Os 0.250 0.250 0.250 x8

## Properties
- total moment (μB/cell) = 0.0
- DFT formation energy (eV/atom) = 0.8532
- crystal system = cubic

Record 14
Entry from Alexandria: a PBEsol-optimized structure of Si2BiPPd (SCAN).

Cell: 4.466 4.466 5.686 Å, 90.00 90.00 90.00°
Space group P4/mmm (No. 123)
Unique sites:
Si 0.000 0.500 0.000 x2
Bi 0.000 0.000 0.500 x1
P 0.500 0.500 0.500 x1
Pd 0.000 0.000 0.000 x1

## Properties
- total moment (μB/cell) = 0.0
- uncorrected formation energy (eV/atom) = 0.67
- crystal system = tetragonal

Record 15
Entry from Alexandria: a PBEsol-optimized structure of BiP2PtS (SCAN).

Cell: 4.585 4.585 4.924 Å, 90.00 90.00 90.00°
Space group P4/mmm (No. 123)
Unique sites:
Bi 0.000 0.000 0.000 x1
P 0.000 0.500 0.500 x2
Pt 0.500 0.500 0.500 x1
S 0.500 0.500 0.000 x1

## Properties
- total moment (μB/cell) = 0.0
- uncorrected formation energy (eV/atom) = 0.53
- crystal system = tetragonal

Record 16
Entry from Alexandria: a PBEsol-optimized structure of Rb2Bi2P (SCAN).

Cell: 7.623 7.623 5.915 Å, 90.00 90.00 90.00°
Space group P4/mbm (No. 127)
Unique sites:
Rb 0.173 0.327 0.000 x4
Bi 0.143 0.643 0.500 x4
P 0.000 0.000 0.500 x2

## Properties
- total moment (μB/cell) = 0.0
- DFT formation energy (eV/atom) = -0.1195
- crystal system = tetragonal

Record 17
Entry from Alexandria: a PBEsol-optimized structure of RbZn2BiP (SCAN).

Cell: 5.671 5.671 6.707 Å, 90.00 90.00 90.00°
Space group P4/mmm (No. 123)
Unique sites:
Rb 0.000 0.000 0.000 x1
Zn 0.000 0.500 0.000 x2
Bi 0.000 0.000 0.500 x1
P 0.500 0.500 0.500 x1

## Properties
- total moment (μB/cell) = 0.8
- DFT formation energy (eV/atom) = 1.5349
- crystal system = tetragonal

Record 18
Entry from Alexandria: a PBEsol-optimized structure of Re2BiP (SCAN).

Cell: 4.360 4.360 16.359 Å, 90.00 90.00 90.00°
Space group I-42d (No. 122)
Unique sites:
Re 0.149 0.250 0.125 x8
Bi 0.000 0.000 0.500 x4
P 0.000 0.000 0.000 x4

## Properties
- total moment (μB/cell) = 0.0
- DFT formation energy (eV/atom) = 0.7725
- crystal system = tetragonal

Record 19
Entry from Alexandria: a PBEsol-optimized structure of ScReBi2P (SCAN).

Cell: 5.156 5.156 5.000 Å, 90.00 90.00 90.00°
Space group P4/mmm (No. 123)
Unique sites:
Sc 0.000 0.000 0.000 x1
Re 0.000 0.000 0.500 x1
Bi 0.000 0.500 0.500 x2
P 0.500 0.500 0.000 x1

## Properties
- total moment (μB/cell) = 0.0
- DFT formation energy (eV/atom) = 0.6639
- crystal system = tetragonal

Record 20
Entry from Alexandria: a PBEsol-optimized structure of Bi3PRh (SCAN).

Cell: 5.187 5.187 5.187 Å, 90.00 90.00 90.00°
Space group Pm-3m (No. 221)
Unique sites:
Bi 0.000 0.000 0.500 x3
P 0.500 0.500 0.500 x1
Rh 0.000 0.000 0.000 x1

## Properties
- total moment (μB/cell) = 0.0
- DFT formation energy (eV/atom) = 0.6767
- crystal system = cubic

Record 21
Entry from Alexandria: a PBEsol-optimized structure of BiPRuS2 (SCAN).

Cell: 5.080 5.080 5.093 Å, 90.00 90.00 90.00°
Space group P4/mmm (No. 123)
Unique sites:
Bi 0.000 0.000 0.000 x1
P 0.000 0.000 0.500 x1
Ru 0.500 0.500 0.500 x1
S 0.000 0.500 0.000 x2

## Properties
- total moment (μB/cell) = 4.8
- uncorrected formation energy (eV/atom) = 1.56
- crystal system = tetragonal

Record 22
Entry from Alexandria: a PBEsol-optimized structure of BiPS2 (SCAN).

Cell: 4.907 4.907 15.400 Å, 90.00 90.00 90.00°
Space group I-42d (No. 122)
Unique sites:
Bi 0.000 0.000 0.000 x4
P 0.000 0.000 0.500 x4
S 0.193 0.250 0.625 x8

## Properties
- total moment (μB/cell) = 0.0
- uncorrected formation energy (eV/atom) = 0.39
- crystal system = tetragonal

Record 23
Entry from Alexandria: a PBEsol-optimized structure of Bi2PSeS (SCAN).

Cell: 5.536 5.536 4.505 Å, 90.00 90.00 90.00°
Space group P4/mmm (No. 123)
Unique sites:
Bi 0.000 0.500 0.000 x2
P 0.000 0.000 0.500 x1
Se 0.000 0.000 0.000 x1
S 0.500 0.500 0.500 x1

## Properties
- total moment (μB/cell) = 0.0
- uncorrected formation energy (eV/atom) = 1.02
- crystal system = tetragonal

Record 24
Entry from Alexandria: a PBEsol-optimized structure of BiP2SeS (SCAN).

Cell: 4.717 4.717 4.786 Å, 90.00 90.00 90.00°
Space group P4/mmm (No. 123)
Unique sites:
Bi 0.000 0.000 0.000 x1
P 0.000 0.500 0.500 x2
Se 0.500 0.500 0.500 x1
S 0.500 0.500 0.000 x1

## Properties
- total moment (μB/cell) = 0.0
- uncorrected formation energy (eV/atom) = 0.85
- crystal system = tetragonal

Record 25
Entry from Alexandria: a PBEsol-optimized structure of TlBiP2S7 (SCAN).

Cell: 9.441 12.197 8.984 Å, 90.00 90.21 90.00°
Space group P2_1/c (No. 14)
Unique sites:
Tl 0.114 0.189 0.119 x4
Bi 0.347 0.638 0.612 x4
P 0.221 0.603 0.977 x4
P 0.316 0.039 0.800 x4
S 0.118 0.708 0.114 x4
S 0.121 0.553 0.789 x4
S 0.158 0.527 0.426 x4
S 0.247 0.054 0.576 x4
S 0.348 0.198 0.852 x4
S 0.410 0.672 0.924 x4
S 0.491 0.557 0.316 x4

## Properties
- total moment (μB/cell) = 0.0
- uncorrected formation energy (eV/atom) = -0.38
- crystal system = monoclinic

Record 26
Entry from Alexandria: a PBEsol-optimized structure of BiP2WS (SCAN).

Cell: 5.035 5.035 4.993 Å, 90.00 90.00 90.00°
Space group P4/mmm (No. 123)
Unique sites:
Bi 0.000 0.000 0.000 x1
P 0.000 0.500 0.000 x2
W 0.500 0.500 0.500 x1
S 0.000 0.000 0.500 x1

## Properties
- total moment (μB/cell) = 2.3
- uncorrected formation energy (eV/atom) = 2.17
- crystal system = tetragonal